[1]
## TbPr5Ho12 (GGA-PBE)

Data for a geometry-optimized TbPr5Ho12 structure.

Results
**Total magnetic moment**: 0.000 μB per formula unit
**Theoretical density**: 8.01 g/cm³
**Raw total energy**: -4.538 eV per atom

Cell: 11.418 17.332 5.957 Å, 90.00 90.00 90.00°
Space group C2/m (No. 12)
Inequivalent atoms, fractional coordinates:
1 Tb 0.000 0.000 0.000
2 Pr 0.000 0.159 0.500
3 Pr 0.000 0.340 0.000
4 Pr 0.000 0.500 0.500
5 Ho 0.174 0.167 0.954
6 Ho 0.175 0.332 0.546
7 Ho 0.182 0.000 0.564
8 Ho 0.186 0.500 0.937

[2]
## TbPr5Ho (GGA-PBE)

Data for a geometry-optimized TbPr5Ho structure.

Results
**Total magnetic moment**: 0.000 μB per formula unit
**Theoretical density**: 5.26 g/cm³
**Raw total energy**: -3.771 eV per atom

Cell: 13.592 8.916 5.958 Å, 90.00 115.91 90.00°
Space group C2/m (No. 12)
Inequivalent atoms, fractional coordinates:
1 Tb 0.000 0.000 0.000
2 Pr 0.000 0.177 0.500
3 Pr 0.000 0.500 0.000
4 Pr 0.249 0.500 0.749
5 Ho 0.000 0.500 0.500

[3]
## Tb2Pr12Ho5 (GGA-PBE)

Data for a geometry-optimized Tb2Pr12Ho5 structure.

Results
**ΔE to the lowest computed polymorph**: 0 meV per atom
**Total magnetic moment**: 0.000 μB per formula unit
**Theoretical density**: 7.10 g/cm³

Cell: 16.030 9.381 8.815 Å, 90.00 91.87 90.00°
Space group C2/m (No. 12)
Inequivalent atoms, fractional coordinates:
1 Tb 0.000 0.170 0.000
2 Pr 0.062 0.000 0.343
3 Pr 0.082 0.500 0.883
4 Pr 0.128 0.197 0.678
5 Pr 0.152 0.318 0.237
6 Ho 0.000 0.500 0.500
7 Ho 0.202 0.000 0.029
8 Ho 0.231 0.500 0.567

[4]
## TbPr2Ho (GGA-PBE)

Data for a geometry-optimized TbPr2Ho structure.

Results
**ΔE to the lowest computed polymorph**: 9 meV per atom
**Total magnetic moment**: 0.000 μB per formula unit
**Theoretical density**: 7.43 g/cm³

Cell: 3.6428 3.6428 35.3152 Å, 90.00 90.00 120.00°
Space group R3m (No. 160, hexagonal axes)
Inequivalent atoms, fractional coordinates:
1 Tb 0.0000 0.0000 0.0000
2 Pr 0.0000 0.0000 0.5834
3 Pr 0.0000 0.0000 0.7504
4 Ho 0.0000 0.0000 0.1676

[5]
## Tb2Pr7Ho2 (GGA-PBE)

Data for a geometry-optimized Tb2Pr7Ho2 structure.

Results
**ΔE to the lowest computed polymorph**: 37 meV per atom
**Total magnetic moment**: 0.000 μB per formula unit
**Theoretical density**: 7.06 g/cm³

Cell: 11.551 11.610 6.172 Å, 90.00 111.85 90.00°
Space group C2/m (No. 12)
Inequivalent atoms, fractional coordinates:
1 Tb 0.227 0.000 0.090
2 Pr 0.000 0.000 0.500
3 Pr 0.075 0.500 0.300
4 Pr 0.182 0.232 0.681
5 Ho 0.000 0.215 0.000

[6]
## Tb3Pr4Ho4 (GGA-PBE)

Data for a geometry-optimized Tb3Pr4Ho4 structure.

Results
**ΔE to the lowest computed polymorph**: 0 meV per atom
**Total magnetic moment**: 0.000 μB per formula unit
**Theoretical density**: 7.76 g/cm³

Cell: 3.609 5.081 20.077 Å, 97.26 95.05 90.00°
Space group P-1 (No. 2)
Inequivalent atoms, fractional coordinates:
1 Tb 0.000 0.000 0.000
2 Tb 0.363 0.364 0.728
3 Pr 0.183 0.182 0.365
4 Pr 0.454 0.455 0.908
5 Ho 0.091 0.090 0.183
6 Ho 0.273 0.272 0.544

[7]
## Tb6Pr2Ho5 (GGA-PBE)

Data for a geometry-optimized Tb6Pr2Ho5 structure.

Results
**Total magnetic moment**: 0.000 μB per formula unit
**Theoretical density**: 8.02 g/cm³
**Raw total energy**: -4.533 eV per atom

Cell: 11.731 20.233 3.596 Å, 90.00 90.00 90.00°
Space group Pbam (No. 55)
Inequivalent atoms, fractional coordinates:
1 Tb 0.059 0.077 0.000
2 Tb 0.079 0.365 0.000
3 Tb 0.179 0.626 0.500
4 Pr 0.167 0.783 0.000
5 Ho 0.000 0.500 0.500
6 Ho 0.093 0.221 0.500
7 Ho 0.200 0.948 0.500

[8]
## Tb3Pr12Ho (GGA-PBE)

Data for a geometry-optimized Tb3Pr12Ho structure.

Results
**Total magnetic moment**: 0.000 μB per formula unit
**Theoretical density**: 6.92 g/cm³
**Raw total energy**: -4.727 eV per atom

Cell: 5.197 5.197 20.728 Å, 90.00 90.00 90.00°
Space group P4/mmm (No. 123)
Inequivalent atoms, fractional coordinates:
1 Tb 0.000 0.000 0.000
2 Tb 0.000 0.000 0.250
3 Pr 0.000 0.500 0.125
4 Pr 0.000 0.500 0.376
5 Pr 0.500 0.500 0.000
6 Pr 0.500 0.500 0.250
7 Pr 0.500 0.500 0.500
8 Ho 0.000 0.000 0.500

[9]
## TbPr7Ho2 (GGA-PBE)

Data for a geometry-optimized TbPr7Ho2 structure.

Results
**ΔE to the lowest computed polymorph**: 262 meV per atom
**Total magnetic moment**: 0.000 μB per formula unit
**Theoretical density**: 5.80 g/cm³

Cell: 8.962 16.492 5.718 Å, 90.00 90.00 90.00°
Space group Cmmm (No. 65)
Inequivalent atoms, fractional coordinates:
1 Tb 0.000 0.000 0.000
2 Pr 0.000 0.223 0.000
3 Pr 0.000 0.500 0.500
4 Pr 0.180 0.114 0.500
5 Ho 0.000 0.295 0.500

[10]
## TbPrHo6 (GGA-PBE)

Data for a geometry-optimized TbPrHo6 structure.

Results
**ΔE to the lowest computed polymorph**: 227 meV per atom
**Total magnetic moment**: 0.008 μB per formula unit
**Theoretical density**: 7.64 g/cm³

Cell: 10.088 6.744 8.538 Å, 90.00 105.18 90.00°
Space group C2/m (No. 12)
Inequivalent atoms, fractional coordinates:
1 Tb 0.000 0.000 0.000
2 Pr 0.000 0.000 0.500
3 Ho 0.126 0.500 0.926
4 Ho 0.197 0.259 0.298

[11]
## Tb7PrHo12 (GGA-PBE)

Data for a geometry-optimized Tb7PrHo12 structure.

Results
**ΔE to the lowest computed polymorph**: 394 meV per atom
**Total magnetic moment**: 0.001 μB per formula unit
**Theoretical density**: 7.59 g/cm³

Cell: 11.227 11.227 11.227 Å, 90.00 90.00 90.00°
Space group Im-3m (No. 229)
Inequivalent atoms, fractional coordinates:
1 Tb 0.000 0.000 0.500
2 Tb 0.250 0.250 0.250
3 Pr 0.000 0.000 0.000
4 Ho 0.000 0.254 0.254

[12]
## Tb4PrHo6 (GGA-PBE)

Data for a geometry-optimized Tb4PrHo6 structure.

Results
**ΔE to the lowest computed polymorph**: 323 meV per atom
**Total magnetic moment**: 0.000 μB per formula unit
**Theoretical density**: 7.67 g/cm³

Cell: 7.705 7.705 12.883 Å, 90.00 90.00 90.00°
Space group I-42m (No. 121)
Inequivalent atoms, fractional coordinates:
1 Tb 0.167 0.167 0.425
2 Pr 0.000 0.000 0.000
3 Ho 0.000 0.500 0.000
4 Ho 0.249 0.249 0.686

[13]
## Tb4PrHo15 (GGA-PBE)

Data for a geometry-optimized Tb4PrHo15 structure.

Results
**Total magnetic moment**: 0.000 μB per formula unit
**Theoretical density**: 8.60 g/cm³
**Raw total energy**: -4.578 eV per atom

Cell: 5.008 5.008 25.019 Å, 90.00 90.00 90.00°
Space group P4/mmm (No. 123)
Inequivalent atoms, fractional coordinates:
1 Tb 0.000 0.000 0.100
2 Tb 0.000 0.000 0.299
3 Pr 0.000 0.000 0.500
4 Ho 0.000 0.500 0.000
5 Ho 0.000 0.500 0.199
6 Ho 0.000 0.500 0.398
7 Ho 0.500 0.500 0.100
8 Ho 0.500 0.500 0.298
9 Ho 0.500 0.500 0.500

[14]
## Tb8Pr4Ho3 (GGA-PBE)

Data for a geometry-optimized Tb8Pr4Ho3 structure.

Results
**Total magnetic moment**: 0.000 μB per formula unit
**Theoretical density**: 7.67 g/cm³
**Raw total energy**: -4.545 eV per atom

Cell: 6.9889 6.9889 35.7592 Å, 90.00 90.00 120.00°
Space group R-3m (No. 166, hexagonal axes)
Inequivalent atoms, fractional coordinates:
1 Tb 0.0000 0.0000 0.2446
2 Tb 0.0018 0.5009 0.7516
3 Pr 0.0000 0.0000 0.0000
4 Pr 0.0000 0.0000 0.3365
5 Pr 0.0000 0.0000 0.5000
6 Ho 0.0000 0.5000 0.5000

[15]
## TbPr3Ho4 (GGA-PBE)

Data for a geometry-optimized TbPr3Ho4 structure.

Results
**ΔE to the lowest computed polymorph**: 0 meV per atom
**Total magnetic moment**: 0.000 μB per formula unit
**Theoretical density**: 7.72 g/cm³

Cell: 11.540 7.334 6.311 Å, 90.00 90.00 90.00°
Space group Pmn2_1 (No. 31)
Inequivalent atoms, fractional coordinates:
1 Tb 0.000 0.131 0.000
2 Pr 0.000 0.872 0.500
3 Pr 0.250 0.127 0.337
4 Ho 0.000 0.379 0.502
5 Ho 0.000 0.621 0.001
6 Ho 0.248 0.379 0.835

[16]
## Tb3Pr9Ho2 (GGA-PBE)

Data for a geometry-optimized Tb3Pr9Ho2 structure.

Results
**Total magnetic moment**: 0.000 μB per formula unit
**Theoretical density**: 6.79 g/cm³
**Raw total energy**: -4.488 eV per atom

Cell: 9.1303 9.1303 14.0582 Å, 90.00 90.00 120.00°
Space group P6_3/m (No. 176)
Inequivalent atoms, fractional coordinates:
1 Tb 0.0796 0.2502 0.2500
2 Pr 0.0785 0.4811 0.7500
3 Pr 0.1323 0.7269 0.5409
4 Ho 0.3333 0.6667 0.1428

[17]
## TbPr4Ho7 (GGA-PBE)

Data for a geometry-optimized TbPr4Ho7 structure.

Results
**ΔE to the lowest computed polymorph**: 0 meV per atom
**Total magnetic moment**: 0.000 μB per formula unit
**Theoretical density**: 7.85 g/cm³

Cell: 6.591 6.877 9.095 Å, 84.64 77.27 81.56°
Space group P-1 (No. 2)
Inequivalent atoms, fractional coordinates:
1 Tb 0.000 0.000 0.000
2 Pr 0.165 0.614 0.307
3 Pr 0.361 0.191 0.715
4 Ho 0.000 0.500 0.000
5 Ho 0.185 0.106 0.381
6 Ho 0.320 0.700 0.644
7 Ho 0.489 0.247 0.048

[18]
## Tb12Pr3Ho (GGA-PBE)

Data for a geometry-optimized Tb12Pr3Ho structure.

Results
**Total magnetic moment**: 0.000 μB per formula unit
**Theoretical density**: 7.94 g/cm³
**Raw total energy**: -4.636 eV per atom

Cell: 5.072 5.072 20.285 Å, 90.00 90.00 90.00°
Space group P4/mmm (No. 123)
Inequivalent atoms, fractional coordinates:
1 Tb 0.000 0.000 0.000
2 Tb 0.000 0.000 0.248
3 Tb 0.000 0.000 0.500
4 Tb 0.000 0.500 0.123
5 Tb 0.000 0.500 0.374
6 Pr 0.500 0.500 0.249
7 Pr 0.500 0.500 0.500
8 Ho 0.500 0.500 0.000